(1)
# Zr2ZnSn, relaxed, DFT PBE
# E: -5.90 eV per atom
# Formation energy from the elements: -1.2 eV/f.u.
data_Zr2ZnSn
_chemical_formula_sum 'Zr8 Zn4 Sn4'
_cell_length_a 8.813
_cell_length_b 7.121
_cell_length_c 5.313
_cell_angle_alpha 90.00
_cell_angle_beta 90.00
_cell_angle_gamma 90.00
_symmetry_space_group_name_H-M 'C m c m'
_symmetry_Int_Tables_number 63
_symmetry_space_group_name_Hall '-C 2c 2'
loop_
_atom_site_label
_atom_site_fract_x
_atom_site_fract_y
_atom_site_fract_z
Zr1 0.198 0.154 0.250
Zn1 0.000 0.500 0.000
Sn1 0.000 0.171 0.750

---

(2)
# KLi2CoSb, relaxed, DFT PBE
# E: -3.28 eV per atom
data_KLi2CoSb
_chemical_formula_sum 'K1 Li2 Co1 Sb1'
_cell_length_a 5.044
_cell_length_b 5.044
_cell_length_c 4.725
_cell_angle_alpha 90.00
_cell_angle_beta 90.00
_cell_angle_gamma 90.00
_symmetry_space_group_name_H-M 'P 4/m m m'
_symmetry_Int_Tables_number 123
_symmetry_space_group_name_Hall '-P 4 2'
loop_
_atom_site_label
_atom_site_fract_x
_atom_site_fract_y
_atom_site_fract_z
K1 0.000 0.000 0.000
Li1 0.000 0.500 0.500
Co1 0.500 0.500 0.500
Sb1 0.500 0.500 0.000

---

Question: Which of these has the highest E?
Answer: KLi2CoSb

---

Question: The lowest E belongs to which entry?
Answer: Zr2ZnSn

---

What did the second record say?
# KLi2CoSb, relaxed, DFT PBE
# E: -3.28 eV per atom
data_KLi2CoSb
_chemical_formula_sum 'K1 Li2 Co1 Sb1'
_cell_length_a 5.044
_cell_length_b 5.044
_cell_length_c 4.725
_cell_angle_alpha 90.00
_cell_angle_beta 90.00
_cell_angle_gamma 90.00
_symmetry_space_group_name_H-M 'P 4/m m m'
_symmetry_Int_Tables_number 123
_symmetry_space_group_name_Hall '-P 4 2'
loop_
_atom_site_label
_atom_site_fract_x
_atom_site_fract_y
_atom_site_fract_z
K1 0.000 0.000 0.000
Li1 0.000 0.500 0.500
Co1 0.500 0.500 0.500
Sb1 0.500 0.500 0.000